KCu2TeO | GGA-PBE | optimized geometry

Output
As for the formation energy without anion corrections: -123 meV/atom. The mass density is 5.575 g/cm³. The value obtained for the total DFT energy (no corrections) is -18.00 eV/cell. As for the density of states at the Fermi level: 0.857 states/eV/atom.

abc: 4.3030 4.9830 4.3030
angles: 90.00 90.00 90.00
Fractional positions:
K 0.0000 0.5000 0.0000
Te 0.5000 0.5000 0.5000
O 0.0000 0.0000 0.0000
Cu 0.0000 0.0000 0.5000
Cu 0.5000 0.0000 0.0000


Tb2PS | GGA-PBE | optimized geometry

Output
As for the formation energy without anion corrections: -1880 meV/atom. The mass density is 7.083 g/cm³. The value obtained for the total DFT energy (no corrections) is -105.27 eV/cell. The value obtained for the distance to the lowest polymorph of the same formula is 2 meV/atom. As for the density of states at the Fermi level: 0.380 states/eV/atom.

abc: 5.6177 5.6177 11.3183
angles: 90.00 90.00 90.00
Fractional positions:
Tb 0.7499 0.0000 0.8702
Tb 0.2501 0.0000 0.1298
Tb 0.7499 0.5000 0.6298
Tb 0.2501 0.5000 0.3702
Tb 0.7501 0.4999 0.1202
Tb 0.2499 0.5001 0.8798
Tb 0.7501 0.0001 0.3798
Tb 0.2499 0.9999 0.6202
P 0.2501 0.0001 0.3750
P 0.7499 0.9999 0.6250
P 0.2501 0.4999 0.1250
P 0.7499 0.5001 0.8750
S 0.2499 0.4999 0.6250
S 0.7501 0.5001 0.3750
S 0.2499 0.0001 0.8750
S 0.7501 0.9999 0.1250


Na4Mn2Br9 | GGA-PBE | optimized geometry

Output
As for the formation energy without anion corrections: -1150 meV/atom. The mass density is 3.480 g/cm³. The value obtained for the total DFT energy (no corrections) is -111.84 eV/cell. As for the density of states at the Fermi level: 0.678 states/eV/atom.

abc: 7.1971 7.2025 19.5703
angles: 90.06 90.04 60.03
Each line ends with the local moment (μB).
Fractional positions:
Na 0.3327 0.3337 0.9796  0.00
Na 0.3343 0.3334 0.4805  0.00
Na 0.6673 0.6663 0.0204  0.00
Na 0.3323 0.3337 0.1815  0.00
Na 0.6657 0.6666 0.5195  0.00
Na 0.6658 0.6670 0.3197  0.00
Na 0.3342 0.3330 0.6803  0.00
Na 0.6677 0.6663 0.8185  0.00
Mn 0.9988 0.0018 0.3440  4.09
Mn 0.9999 0.9989 0.1557  4.09
Mn 0.0012 0.9982 0.6560  4.09
Mn 0.0001 0.0011 0.8443  4.09
Br 0.0025 0.2788 0.7503  0.02
Br 0.2800 0.7190 0.7501  0.02
Br 0.7199 0.0008 0.7501  0.02
Br 0.9975 0.7212 0.2497  0.02
Br 0.7200 0.2810 0.2499  0.02
Br 0.2801 0.9992 0.2499  0.02
Br 0.7071 0.9727 0.4111  0.02
Br 0.9711 0.3214 0.4115  0.02
Br 0.3189 0.7091 0.4110  0.02
Br 0.6777 0.0304 0.0887  0.02
Br 0.2917 0.6774 0.0889  0.02
Br 0.0304 0.2895 0.0886  0.02
Br 0.2929 0.0273 0.5889  0.02
Br 0.0289 0.6786 0.5885  0.02
Br 0.6811 0.2909 0.5890  0.02
Br 0.3223 0.9696 0.9113  0.02
Br 0.7083 0.3226 0.9111  0.02
Br 0.9696 0.7105 0.9114  0.02


LaBeNi2 | GGA-PBE | optimized geometry

Output
Its energy of formation from the pure elements is -0.06 eV per atom. The mass density is 6.519 g/cm³. The value obtained for the total DFT energy (no corrections) is -20.45 eV/cell. As for the density of states at the Fermi level: 0.443 states/eV/atom.

abc: 4.6748 4.6748 4.6748
angles: 131.60 111.78 88.00
Fractional positions:
Ni 0.0718 0.0718 0.0000
Ni 0.4282 0.4282 0.0000
Be 0.2500 0.7500 0.5000
La 0.7500 0.2500 0.5000


- Among the records above, which one has the lowest mass density?
  Na4Mn2Br9


- Which value of mass density does entry 1 give?
  5.575 g/cm³